## 1
The following is a GGA-PBE calculation of a relaxed structure of Y2CrAu, from Alexandria.

a = 8.8267 Å, b = 3.5355 Å, c = 6.5814 Å
α = 90.00°, β = 101.63°, γ = 90.00°
Closest atoms and distances in Å follow each position.
Space group C2/m (No. 12)
Inequivalent atoms, fractional coordinates:
Y1 0.2439 0.0000 0.2479  3 Cr 2.97-3.08, 3 Au 3.00-3.04
Cr1 0.0000 0.0000 0.5000  6 Y 2.97-3.08
Au1 0.0000 0.5000 0.0000  6 Y 3.00-3.04

DOS at the Fermi energy = 8.0 states/eV/cell

---

## 2
The following is a GGA-PBE calculation of a relaxed structure of Y2CrAu, from Alexandria.

a = 3.7724 Å, b = 3.7724 Å, c = 6.8575 Å
α = 90.00°, β = 90.00°, γ = 90.00°
Closest atoms and distances in Å follow each position.
Space group P4mm (No. 99)
Inequivalent atoms, fractional coordinates:
Y1 0.0000 0.0000 0.0000  1 Au 3.04, 4 Cr 3.04
Y2 0.5000 0.5000 0.3487  1 Cr 3.01, 4 Au 3.03
Cr1 0.5000 0.5000 0.7876  5 Y 3.01-3.04, 4 Au 3.10
Au1 0.0000 0.0000 0.5573  5 Y 3.03-3.04, 4 Cr 3.10

DOS at the Fermi energy = 3.2 states/eV/cell

---

2 is favored, and the nearest alternative lies 139 meV/atom above it.

---

## 1
The following is a GGA-PBE calculation of a relaxed structure of YCr2Au, from Alexandria.

a = 2.8171 Å, b = 2.8171 Å, c = 8.5918 Å
α = 90.00°, β = 90.00°, γ = 90.00°
Closest atoms and distances in Å follow each position.
Space group P4/mmm (No. 123)
Inequivalent atoms, fractional coordinates:
Y1 0.0000 0.0000 0.0000  4 Y 2.82, 8 Cr 3.08
Cr1 0.5000 0.5000 0.2740  4 Au 2.78, 4 Cr 2.82, 4 Y 3.08
Au1 0.0000 0.0000 0.5000  8 Cr 2.78, 4 Au 2.82

DOS at the Fermi energy = 4.0 states/eV/cell

---

## 2
The following is a GGA-PBE calculation of a relaxed structure of YCr2Au, from Alexandria.

a = 9.7290 Å, b = 3.2274 Å, c = 5.1355 Å
α = 90.00°, β = 108.75°, γ = 90.00°
Closest atoms and distances in Å follow each position.
Space group C2/m (No. 12)
Inequivalent atoms, fractional coordinates:
Y1 0.0000 0.0000 0.0000  4 Au 3.03, 6 Cr 3.10-3.32, 2 Y 3.23
Cr1 0.2371 0.0000 0.6319  2 Cr 2.17
Au1 0.0000 0.5000 0.5000  6 Cr 2.72-2.85, 4 Y 3.03

DOS at the Fermi energy = 8.8 states/eV/cell

---

## 3
The following is a GGA-PBE calculation of a relaxed structure of YCr2Au, from Alexandria.

a = 4.1496 Å, b = 4.1496 Å, c = 19.3369 Å
α = 90.00°, β = 90.00°, γ = 90.00°
Closest atoms and distances in Å follow each position.
Space group I4_1/amd (No. 141, origin choice 2)
Inequivalent atoms, fractional coordinates:
Y1 0.0000 0.2500 0.3750  4 Au 2.93
Cr1 0.0000 0.0000 0.0000  2 Cr 2.07
Au1 0.0000 0.2500 0.8750  4 Cr 2.63, 4 Y 2.93

DOS at the Fermi energy = 15.5 states/eV/cell

---

2 is favored, and the nearest alternative lies 208 meV/atom above it.

---

## 1
The following is a GGA-PBE calculation of a relaxed structure of YCr2Au, from Alexandria.

a = 6.7473 Å, b = 6.7473 Å, c = 6.7473 Å
α = 90.00°, β = 90.00°, γ = 90.00°
Closest atoms and distances in Å follow each position.
Space group Fm-3m (No. 225)
Inequivalent atoms, fractional coordinates:
Y1 0.0000 0.0000 0.0000  8 Cr 2.92
Cr1 0.2500 0.2500 0.2500  4 Y 2.92, 4 Au 2.92
Au1 0.0000 0.0000 0.5000  8 Cr 2.92

DOS at the Fermi energy = 10.1 states/eV/cell

---

## 2
The following is a GGA-PBE calculation of a relaxed structure of YCr2Au, from Alexandria.

a = 4.2475 Å, b = 4.2652 Å, c = 4.2852 Å
α = 90.00°, β = 90.00°, γ = 90.00°
Closest atoms and distances in Å follow each position.
Space group Pmmm (No. 47)
Inequivalent atoms, fractional coordinates:
Y1 0.0000 0.0000 0.0000  4 Au 3.01, 8 Cr 3.02
Cr1 0.0000 0.5000 0.5000  4 Cr 3.01, 4 Au 3.02, 4 Y 3.02
Cr2 0.5000 0.0000 0.5000  4 Cr 3.01, 4 Y 3.02, 4 Au 3.02
Au1 0.5000 0.5000 0.0000  4 Y 3.01, 8 Cr 3.02

DOS at the Fermi energy = 3.8 states/eV/cell

---

2 is favored, and the nearest alternative lies 60 meV/atom above it.

---

## 1
The following is a GGA-PBE calculation of a relaxed structure of YCr2Au, from Alexandria.

a = 6.7480 Å, b = 6.7480 Å, c = 6.7480 Å
α = 90.00°, β = 90.00°, γ = 90.00°
Closest atoms and distances in Å follow each position.
Space group F-43m (No. 216)
Inequivalent atoms, fractional coordinates:
Y1 0.0000 0.0000 0.0000  4 Cr 2.92, 4 Au 2.92
Cr1 0.0000 0.0000 0.5000  4 Au 2.92, 4 Cr 2.92
Cr2 0.2500 0.2500 0.2500  4 Cr 2.92, 4 Y 2.92
Au1 0.2500 0.2500 0.7500  4 Cr 2.92, 4 Y 2.92

DOS at the Fermi energy = 13.2 states/eV/cell

---

## 2
The following is a GGA-PBE calculation of a relaxed structure of YCr2Au, from Alexandria.

a = 3.1774 Å, b = 3.1774 Å, c = 7.2220 Å
α = 90.00°, β = 90.00°, γ = 90.00°
Closest atoms and distances in Å follow each position.
Space group P4mm (No. 99)
Inequivalent atoms, fractional coordinates:
Y1 0.0000 0.0000 0.0000  4 Au 3.10, 5 Cr 3.17-3.28, 4 Y 3.18
Cr1 0.0000 0.0000 0.5454  4 Cr 2.48
Cr2 0.5000 0.5000 0.6896  4 Cr 2.48
Au1 0.5000 0.5000 0.2953  5 Cr 2.85-2.88, 4 Y 3.10, 4 Au 3.18

DOS at the Fermi energy = 3.3 states/eV/cell

---

2 is favored, and the nearest alternative lies 31 meV/atom above it.

---

## 1
The following is a GGA-PBE calculation of a relaxed structure of ZrCr2Au, from Alexandria.

a = 6.4724 Å, b = 6.4724 Å, c = 6.4724 Å
α = 90.00°, β = 90.00°, γ = 90.00°
Closest atoms and distances in Å follow each position.
Space group Fm-3m (No. 225)
Inequivalent atoms, fractional coordinates:
Zr1 0.0000 0.0000 0.0000  8 Cr 2.80
Cr1 0.2500 0.2500 0.2500  4 Zr 2.80, 4 Au 2.80
Au1 0.0000 0.0000 0.5000  8 Cr 2.80

DOS at the Fermi energy = 23.9 states/eV/cell

---

## 2
The following is a GGA-PBE calculation of a relaxed structure of ZrCr2Au, from Alexandria.

a = 4.1541 Å, b = 4.1541 Å, c = 8.0800 Å
α = 90.00°, β = 90.00°, γ = 90.00°
Closest atoms and distances in Å follow each position.
Space group I4/mmm (No. 139)
Inequivalent atoms, fractional coordinates:
Zr1 0.0000 0.0000 0.0000  8 Cr 2.90, 4 Au 2.94
Cr1 0.0000 0.5000 0.2500  4 Zr 2.90, 4 Au 2.90, 4 Cr 2.94
Au1 0.0000 0.0000 0.5000  8 Cr 2.90, 4 Zr 2.94

DOS at the Fermi energy = 9.9 states/eV/cell

---

2 is favored, and the nearest alternative lies 34 meV/atom above it.

---

## 1
The following is a GGA-PBE calculation of a relaxed structure of ZrCr2Au, from Alexandria.

a = 3.0145 Å, b = 3.0145 Å, c = 7.1472 Å
α = 90.00°, β = 90.00°, γ = 90.00°
Closest atoms and distances in Å follow each position.
Space group P4mm (No. 99)
Inequivalent atoms, fractional coordinates:
Zr1 0.0000 0.0000 0.0000  5 Cr 2.88-3.12, 4 Zr 3.01, 4 Au 3.05
Cr1 0.0000 0.0000 0.5636  4 Cr 2.44
Cr2 0.5000 0.5000 0.7300  4 Cr 2.44
Au1 0.5000 0.5000 0.3059  5 Cr 2.82-3.03, 4 Au 3.01, 4 Zr 3.05

DOS at the Fermi energy = 3.0 states/eV/cell

---

## 2
The following is a GGA-PBE calculation of a relaxed structure of ZrCr2Au, from Alexandria.

a = 3.4483 Å, b = 4.2516 Å, c = 8.6927 Å
α = 90.00°, β = 90.00°, γ = 90.00°
Closest atoms and distances in Å follow each position.
Space group Cmmm (No. 65)
Inequivalent atoms, fractional coordinates:
Zr1 0.0000 0.0000 0.0000  4 Zr 2.74, 4 Cr 2.83
Cr1 0.0000 0.5000 0.2585  4 Au 2.72-2.99, 4 Cr 2.74, 2 Zr 2.83
Au1 0.0000 0.0000 0.5000  8 Cr 2.72-2.99, 4 Au 2.74

DOS at the Fermi energy = 11.3 states/eV/cell

---

1 is favored, and the nearest alternative lies 510 meV/atom above it.